1.
DFT (GGA-PBE) results for an optimized crystal structure of TcBiIO4.

Properties
**Energy**: -6.177 eV per atom
**Volume**: 592.3 Å³ per cell
**Total magnetization**: 0.0 Bohr magnetons per cell
**Density of states at the Fermi level**: 11.014 states/eV per cell

a b c (Å): 11.3382 7.2750 7.4151
angles (deg): 90.00 104.44 90.00
Space group C2/m (No. 12)
Unique sites:
Tc 0.1320 0.0000 0.2649 (multiplicity 4)
Bi 0.2218 0.5000 0.0872 (multiplicity 4)
I 0.0180 0.5000 0.7465 (multiplicity 4)
O 0.0256 0.0000 0.7796 (multiplicity 4)
O 0.1902 0.1769 0.1283 (multiplicity 8)
O 0.2124 0.0000 0.4964 (multiplicity 4)


2.
DFT (GGA-PBE) results for an optimized crystal structure of CsKRb2.

Properties
**Polymorph energy (0 for the lowest one)**: 0.033 eV per formula unit
**Volume**: 736.6 Å³ per cell
**Total magnetization**: 0.0 Bohr magnetons per cell
**Energy of formation**: 12 meV per atom
**Density of states at the Fermi level**: 7.692 states/eV per cell

a b c (Å): 8.8528 5.0860 16.6532
angles (deg): 90.00 100.79 90.00
Space group Cm (No. 8)
Unique sites:
Cs 0.0000 0.0000 0.0000 (multiplicity 2)
K 0.1668 0.0000 0.5004 (multiplicity 2)
Rb 0.0783 0.5000 0.7345 (multiplicity 2)
Rb 0.2554 0.5000 0.2663 (multiplicity 2)


3.
DFT (GGA-PBE) results for an optimized crystal structure of Rb2URh2Se6.

Properties
**Energy**: -5.318 eV per atom
**Volume**: 610.8 Å³ per cell
**Total magnetization**: 4.0 Bohr magnetons per cell
**Density of states at the Fermi level**: 11.764 states/eV per cell

a b c (Å): 6.4560 11.3678 8.5530
angles (deg): 90.00 103.33 90.00
Space group C2/m (No. 12)
Unique sites:
Rb 0.0000 0.1595 0.0000 (multiplicity 4)
U 0.0000 0.0000 0.5000 (multiplicity 2)
Rh 0.0000 0.3336 0.5000 (multiplicity 4)
Se 0.1888 0.5000 0.6809 (multiplicity 4)
Se 0.2350 0.1812 0.6786 (multiplicity 8)


4.
DFT (GGA-PBE) results for an optimized crystal structure of YAl4P.

Properties
**Volume**: 451.9 Å³ per cell
**Total magnetization**: 0.0 Bohr magnetons per cell
**Energy of formation**: -68 meV per atom
**Density of states at the Fermi level**: 23.787 states/eV per cell

a b c (Å): 7.6740 7.6740 7.6740
angles (deg): 90.00 90.00 90.00
Space group F-43m (No. 216)
Unique sites:
Y 0.0000 0.0000 0.0000 (multiplicity 4)
Al 0.1250 0.1250 0.6250 (multiplicity 16)
P 0.2500 0.2500 0.2500 (multiplicity 4)


5.
DFT (GGA-PBE) results for an optimized crystal structure of Ba2Tb2Ti2Cu2O11.

Properties
**Energy**: -7.445 eV per atom
**Volume**: 243.5 Å³ per cell
**Total magnetization**: 0.0 Bohr magnetons per cell
**Density of states at the Fermi level**: 2.280 states/eV per cell

a b c (Å): 3.9056 3.9056 15.9603
angles (deg): 90.00 90.00 90.00
Space group P4/mmm (No. 123)
Unique sites:
Ba 0.0000 0.0000 0.2323 (multiplicity 2)
Tb 0.0000 0.0000 0.0000 (multiplicity 1)
Tb 0.0000 0.0000 0.5000 (multiplicity 1)
Ti 0.5000 0.5000 0.3762 (multiplicity 2)
Cu 0.5000 0.5000 0.1014 (multiplicity 2)
O 0.0000 0.5000 0.0907 (multiplicity 4)
O 0.0000 0.5000 0.3907 (multiplicity 4)
O 0.5000 0.5000 0.2587 (multiplicity 2)
O 0.5000 0.5000 0.5000 (multiplicity 1)


6.
DFT (GGA-PBE) results for an optimized crystal structure of Ce5Bi3C.

Properties
**Volume**: 500.3 Å³ per cell
**Total magnetization**: 11.2 Bohr magnetons per cell
**Energy of formation**: -642 meV per atom
**Density of states at the Fermi level**: 48.626 states/eV per cell

a b c (Å): 9.4609 9.4609 6.4535
angles (deg): 90.00 90.00 120.00
Space group P6_3/mcm (No. 193)
Unique sites:
Ce 0.0000 0.2131 0.2500 (multiplicity 6)
Ce 0.3333 0.6667 0.0000 (multiplicity 4)
Bi 0.0000 0.3966 0.7500 (multiplicity 6)
C 0.0000 0.0000 0.0000 (multiplicity 2)


7.
DFT (GGA-PBE) results for an optimized crystal structure of Na7US6.

Properties
**Energy**: -4.402 eV per atom
**Volume**: 1026.9 Å³ per cell
**Total magnetization**: 3.0 Bohr magnetons per cell

a b c (Å): 7.8873 7.8873 19.0611
angles (deg): 90.00 90.00 120.00
Space group R3 (No. 146, hexagonal axes)
Unique sites:
Na 0.0000 0.0000 0.0000 (multiplicity 3)
Na 0.0541 0.3418 0.8817 (multiplicity 9)
Na 0.0694 0.6829 0.0957 (multiplicity 9)
U 0.0000 0.0000 0.6560 (multiplicity 3)
S 0.0034 0.7224 0.5795 (multiplicity 9)
S 0.0296 0.3987 0.3989 (multiplicity 9)


8.
DFT (GGA-PBE) results for an optimized crystal structure of Pu2UNi4Ge3.

Properties
**Volume**: 174.2 Å³ per cell
**Total magnetization**: 13.1 Bohr magnetons per cell
**Energy of formation**: -380 meV per atom
**Density of states at the Fermi level**: 21.884 states/eV per cell

a b c (Å): 4.2291 4.2291 9.7379
angles (deg): 90.00 90.00 90.00
Space group P-4m2 (No. 115)
Unique sites:
Pu 0.0000 0.5000 0.2390 (multiplicity 2)
U 0.0000 0.0000 0.5000 (multiplicity 1)
Ni 0.0000 0.0000 0.0000 (multiplicity 1)
Ni 0.0000 0.5000 0.6445 (multiplicity 2)
Ni 0.5000 0.5000 0.0000 (multiplicity 1)
Ge 0.0000 0.5000 0.8822 (multiplicity 2)
Ge 0.5000 0.5000 0.5000 (multiplicity 1)


9.
DFT (GGA-PBE) results for an optimized crystal structure of Ce2ErGe4Pt3.

Properties
**Volume**: 207.0 Å³ per cell
**Total magnetization**: 1.2 Bohr magnetons per cell
**Energy of formation**: -891 meV per atom
**Density of states at the Fermi level**: 12.652 states/eV per cell

a b c (Å): 4.3113 4.3113 11.1353
angles (deg): 90.00 90.00 90.00
Space group P-4m2 (No. 115)
Unique sites:
Ce 0.0000 0.5000 0.2314 (multiplicity 2)
Er 0.0000 0.0000 0.5000 (multiplicity 1)
Ge 0.0000 0.0000 0.0000 (multiplicity 1)
Ge 0.0000 0.5000 0.6603 (multiplicity 2)
Ge 0.5000 0.5000 0.0000 (multiplicity 1)
Pt 0.0000 0.5000 0.8823 (multiplicity 2)
Pt 0.5000 0.5000 0.5000 (multiplicity 1)


10.
DFT (GGA-PBE) results for an optimized crystal structure of LiTlSbS2.

Properties
**Energy**: -3.659 eV per atom
**Volume**: 272.1 Å³ per cell
**Total magnetization**: 0.0 Bohr magnetons per cell
**Density of states at the Fermi level**: 2.303 states/eV per cell

a b c (Å): 6.5078 5.6299 7.4620
angles (deg): 90.00 95.63 90.00
Space group P2/c (No. 13)
Unique sites:
Li 0.0000 0.0000 0.0000 (multiplicity 2)
Tl 0.5000 0.1743 0.2500 (multiplicity 2)
Sb 0.0000 0.3981 0.2500 (multiplicity 2)
S 0.2276 0.3199 0.5823 (multiplicity 4)


11.
DFT (GGA-PBE) results for an optimized crystal structure of Cs8As2S.

Properties
**Energy**: -2.292 eV per atom
**Volume**: 1066.2 Å³ per cell
**Total magnetization**: 0.0 Bohr magnetons per cell
**Density of states at the Fermi level**: 12.743 states/eV per cell

a b c (Å): 21.6088 6.0379 8.7004
angles (deg): 90.00 110.08 90.00
Space group C2/m (No. 12)
Unique sites:
Cs 0.0249 0.0000 0.2970 (multiplicity 4)
Cs 0.0991 0.5000 0.9276 (multiplicity 4)
Cs 0.1655 0.5000 0.4503 (multiplicity 4)
Cs 0.2112 0.0000 0.8015 (multiplicity 4)
As 0.1730 0.0000 0.1776 (multiplicity 4)
S 0.0000 0.5000 0.5000 (multiplicity 2)


12.
DFT (GGA-PBE) results for an optimized crystal structure of Sr3LaB.

Properties
**Polymorph energy (0 for the lowest one)**: 0.000 eV per formula unit
**Volume**: 196.8 Å³ per cell
**Total magnetization**: 0.0 Bohr magnetons per cell
**Energy of formation**: 482 meV per atom
**Density of states at the Fermi level**: 9.460 states/eV per cell

a b c (Å): 5.8166 5.8166 5.8166
angles (deg): 90.00 90.00 90.00
Space group Pm-3m (No. 221)
Unique sites:
Sr 0.0000 0.0000 0.5000 (multiplicity 3)
La 0.5000 0.5000 0.5000 (multiplicity 1)
B 0.0000 0.0000 0.0000 (multiplicity 1)


13.
DFT (GGA-PBE) results for an optimized crystal structure of RbScS2N.

Properties
**Polymorph energy (0 for the lowest one)**: 9.001 eV per formula unit
**Volume**: 128.2 Å³ per cell
**Total magnetization**: 1.3 Bohr magnetons per cell
**Density of states at the Fermi level**: 2.749 states/eV per cell

a b c (Å): 5.4168 5.4168 4.3698
angles (deg): 90.00 90.00 90.00
Space group P4/mmm (No. 123)
Unique sites:
Rb 0.0000 0.0000 0.0000 (multiplicity 1)
Sc 0.5000 0.5000 0.5000 (multiplicity 1)
S 0.0000 0.5000 0.0000 (multiplicity 2)
N 0.0000 0.0000 0.5000 (multiplicity 1)


14.
DFT (GGA-PBE) results for an optimized crystal structure of Tl2FeSi.

Properties
**Polymorph energy (0 for the lowest one)**: 1.976 eV per formula unit
**Volume**: 167.0 Å³ per cell
**Total magnetization**: 5.3 Bohr magnetons per cell
**Density of states at the Fermi level**: 4.952 states/eV per cell

a b c (Å): 3.8925 4.9189 8.7239
angles (deg): 90.00 90.00 90.00
Space group Cmmm (No. 65)
Unique sites:
Tl 0.0000 0.0000 0.2343 (multiplicity 4)
Fe 0.0000 0.5000 0.0000 (multiplicity 2)
Si 0.0000 0.5000 0.5000 (multiplicity 2)


15.
DFT (GGA-PBE) results for an optimized crystal structure of Pm2HoTc.

Properties
**Polymorph energy (0 for the lowest one)**: 0.670 eV per formula unit
**Volume**: 109.9 Å³ per cell
**Total magnetization**: 0.0 Bohr magnetons per cell
**Energy of formation**: 136 meV per atom
**Density of states at the Fermi level**: 5.584 states/eV per cell

a b c (Å): 3.5284 3.5284 8.8287
angles (deg): 90.00 90.00 90.00
Space group P4/mmm (No. 123)
Unique sites:
Pm 0.0000 0.0000 0.1929 (multiplicity 2)
Ho 0.5000 0.5000 0.5000 (multiplicity 1)
Tc 0.5000 0.5000 0.0000 (multiplicity 1)


16.
DFT (GGA-PBE) results for an optimized crystal structure of AsPtC3.

Properties
**Polymorph energy (0 for the lowest one)**: 0.682 eV per formula unit
**Volume**: 58.8 Å³ per cell
**Total magnetization**: 0.0 Bohr magnetons per cell
**Energy of formation**: 2655 meV per atom
**Density of states at the Fermi level**: 3.287 states/eV per cell

a b c (Å): 3.8882 3.8882 3.8882
angles (deg): 90.00 90.00 90.00
Space group Pm-3m (No. 221)
Unique sites:
As 0.0000 0.0000 0.0000 (multiplicity 1)
Pt 0.5000 0.5000 0.5000 (multiplicity 1)
C 0.0000 0.0000 0.5000 (multiplicity 3)


17.
DFT (GGA-PBE) results for an optimized crystal structure of TaTcIr2.

Properties
**Polymorph energy (0 for the lowest one)**: 1.957 eV per formula unit
**Volume**: 249.1 Å³ per cell
**Total magnetization**: 0.0 Bohr magnetons per cell
**Energy of formation**: -20 meV per atom
**Density of states at the Fermi level**: 23.079 states/eV per cell

a b c (Å): 6.2919 6.2919 6.2919
angles (deg): 90.00 90.00 90.00
Space group F-43m (No. 216)
Unique sites:
Ta 0.0000 0.0000 0.0000 (multiplicity 4)
Tc 0.2500 0.2500 0.2500 (multiplicity 4)
Ir 0.0000 0.0000 0.5000 (multiplicity 4)
Ir 0.2500 0.2500 0.7500 (multiplicity 4)


18.
DFT (GGA-PBE) results for an optimized crystal structure of SrCd4In.

Properties
**Polymorph energy (0 for the lowest one)**: 0.052 eV per formula unit
**Volume**: 639.1 Å³ per cell
**Total magnetization**: 0.0 Bohr magnetons per cell
**Energy of formation**: -202 meV per atom
**Density of states at the Fermi level**: 9.367 states/eV per cell

a b c (Å): 4.7276 17.9113 7.5471
angles (deg): 90.00 90.00 90.00
Space group Cmcm (No. 63)
Unique sites:
Sr 0.0000 0.1234 0.2500 (multiplicity 4)
Cd 0.0000 0.0646 0.7500 (multiplicity 4)
Cd 0.0000 0.3346 0.0562 (multiplicity 8)
Cd 0.0000 0.5000 0.0000 (multiplicity 4)
In 0.0000 0.2332 0.7500 (multiplicity 4)